Cd2PbBr, optimized geometry, DFT PBEsol; total magnetization = 0.0 μB/f.u.; relative energy among the computed polymorphs = 0.037 eV/f.u.; crystal system = tetragonal; space group = P4mm; final energy = -2.17 eV/atom
1.0
3.423 0.000 0.000
0.000 3.423 0.000
0.000 0.000 8.465
Cd Pb Br
2 1 1
direct
0.000 0.000 0.000
0.500 0.500 0.216
0.000 0.000 0.481
0.500 0.500 0.763